## i
This record from Alexandria via LeMat-Bulk describes a PBEsol-optimized structure of Y. The functional is SCAN.

Lattice parameters (Å, degrees): 3.5360 3.5360 25.3756 90.00 90.00 120.00
Space group R-3m (No. 166, hexagonal axes)
Unique sites:
Y: 0.0000 0.0000 0.0000 [3 per cell]
Y: 0.0000 0.0000 0.2219 [6 per cell]

For the theoretical density, the calculation gives 4.8 g cm⁻³. For the spin magnetization, the calculation gives 0.12 μB/f.u. The density of states at the Fermi level comes out at 12.1 states/eV per cell.

***

## ii
This record from Alexandria via LeMat-Bulk describes a PBEsol-optimized structure of Y. The functional is SCAN.

Lattice parameters (Å, degrees): 5.5295 5.5295 3.4508 90.00 90.00 120.00
Space group P6/mmm (No. 191)
Unique sites:
Y: 0.0000 0.0000 0.0000 [1 per cell]
Y: 0.3333 0.6667 0.5000 [2 per cell]

For the theoretical density, the calculation gives 4.8 g cm⁻³. For the spin magnetization, the calculation gives 0.30 μB/f.u. The density of states at the Fermi level comes out at 4.7 states/eV per cell.

***

Most favorable first, least favorable last: i, ii

***

## i
This record from Alexandria via LeMat-Bulk describes a PBEsol-optimized structure of Y. The functional is SCAN.

Lattice parameters (Å, degrees): 3.616 5.666 12.196 90.00 90.00 90.00
Space group Fmmm (No. 69)
Unique sites:
Y: 0.000 0.000 0.137 [8 per cell]

For the theoretical density, the calculation gives 4.7 g cm⁻³. For the spin magnetization, the calculation gives 0.00 μB/f.u. The density of states at the Fermi level comes out at 8.9 states/eV per cell.

***

## ii
This record from Alexandria via LeMat-Bulk describes a PBEsol-optimized structure of Y. The functional is SCAN.

Lattice parameters (Å, degrees): 3.505 3.505 4.945 90.00 90.00 90.00
Space group I4/mmm (No. 139)
Unique sites:
Y: 0.000 0.000 0.000 [2 per cell]

For the theoretical density, the calculation gives 4.9 g cm⁻³. For the spin magnetization, the calculation gives 0.00 μB/f.u. The density of states at the Fermi level comes out at 2.8 states/eV per cell.

***

Most favorable first, least favorable last: ii, i